[1]
## LiOsAu2 (GGA-PBE)

Data for LiOsAu2 after structural relaxation.

Computed properties:
E_form	120	meV/atom
energy relative to the lowest polymorph listed for this composition	61.7	meV/atom

Cell lengths 5.307, 5.307, 4.917 Å; angles 108.72, 108.72, 29.36 degrees
Sites, in units of the cell vectors:
Li1 0.000 0.000 0.000
Os1 0.750 0.750 0.437
Au1 0.248 0.248 0.932
Au2 0.492 0.492 0.482

=====

[2]
## Li2OsAu (GGA-PBE)

Data for Li2OsAu after structural relaxation.

Computed properties:
E_form	-31	meV/atom
energy relative to the lowest polymorph listed for this composition	4.4	meV/atom

Cell lengths 9.233, 9.233, 9.233 Å; angles 17.01, 17.01, 17.01 degrees
Sites, in units of the cell vectors:
Li1 0.247 0.247 0.247
Li2 0.753 0.753 0.753
Os1 0.500 0.500 0.500
Au1 0.000 0.000 0.000

=====

[3]
## LiOsAu2 (GGA-PBE)

Data for LiOsAu2 after structural relaxation.

Computed properties:
E_form	366	meV/atom
energy relative to the lowest polymorph listed for this composition	307.2	meV/atom

Cell lengths 4.498, 4.498, 4.498 Å; angles 60.00, 60.00, 60.00 degrees
Sites, in units of the cell vectors:
Li1 0.000 0.000 0.000
Os1 0.500 0.500 0.500
Au1 0.250 0.250 0.250
Au2 0.750 0.750 0.750

=====

[4]
## LiOsAu2 (GGA-PBE)

Data for LiOsAu2 after structural relaxation.

Computed properties:
E_form	59	meV/atom
energy relative to the lowest polymorph listed for this composition	0.0	meV/atom

Cell lengths 4.901, 4.901, 2.707 Å; angles 90.00, 90.00, 103.04 degrees
Sites, in units of the cell vectors:
Li1 0.000 0.000 0.000
Os1 0.500 0.500 0.000
Au1 0.000 0.500 0.500
Au2 0.500 0.000 0.500

=====

[5]
## LiOsAu2 (GGA-PBE)

Data for LiOsAu2 after structural relaxation.

Computed properties:
E_form	393	meV/atom
energy relative to the lowest polymorph listed for this composition	334.8	meV/atom

Cell lengths 2.725, 4.816, 4.948 Å; angles 90.00, 90.00, 90.00 degrees
Sites, in units of the cell vectors:
Li1 0.000 0.000 0.000
Os1 0.500 0.000 0.500
Au1 0.000 0.500 0.500
Au2 0.500 0.500 0.000

=====

[6]
## Li2OsAu (GGA-PBE)

Data for Li2OsAu after structural relaxation.

Computed properties:
E_form	151	meV/atom
energy relative to the lowest polymorph listed for this composition	185.7	meV/atom

Cell lengths 9.750, 9.750, 9.750 Å; angles 16.15, 16.15, 16.15 degrees
Sites, in units of the cell vectors:
Li1 0.000 0.000 0.000
Li2 0.241 0.241 0.241
Os1 0.498 0.498 0.498
Au1 0.743 0.743 0.743

=====

[7]
## Li2OsAu (GGA-PBE)

Data for Li2OsAu after structural relaxation.

Computed properties:
E_form	592	meV/atom
energy relative to the lowest polymorph listed for this composition	626.6	meV/atom

Cell lengths 5.532, 5.532, 5.532 Å; angles 103.01, 103.01, 123.34 degrees
Sites, in units of the cell vectors:
Li1 0.117 0.625 0.992
Li2 0.375 0.367 0.492
Li3 0.633 0.125 0.008
Li4 0.875 0.883 0.508
Os1 0.250 0.750 0.500
Os2 0.500 0.500 0.000
Au1 0.000 0.000 0.000
Au2 0.750 0.250 0.500

=====

[8]
## LiOsAu2 (GGA-PBE)

Data for LiOsAu2 after structural relaxation.

Computed properties:
E_form	436	meV/atom
energy relative to the lowest polymorph listed for this composition	377.5	meV/atom

Cell lengths 5.534, 5.534, 5.534 Å; angles 151.42, 126.99, 61.32 degrees
Sites, in units of the cell vectors:
Li1 0.000 0.000 0.000
Os1 0.500 0.500 0.000
Au1 0.244 0.744 0.500
Au2 0.756 0.256 0.500

=====

[9]
## LiOs4Au (GGA-PBE)

Data for LiOs4Au after structural relaxation.

Computed properties:
E_form	727	meV/atom

Cell lengths 5.170, 5.170, 5.170 Å; angles 60.00, 60.00, 60.00 degrees
Sites, in units of the cell vectors:
Li1 0.000 0.000 0.000
Os1 0.125 0.625 0.625
Os2 0.625 0.125 0.625
Os3 0.625 0.625 0.125
Os4 0.625 0.625 0.625
Au1 0.250 0.250 0.250

=====

[10]
## Li2OsAu (GGA-PBE)

Data for Li2OsAu after structural relaxation.

Computed properties:
E_form	170	meV/atom
energy relative to the lowest polymorph listed for this composition	204.5	meV/atom

Cell lengths 2.609, 4.409, 5.239 Å; angles 90.00, 90.00, 90.00 degrees
Sites, in units of the cell vectors:
Li1 0.000 0.000 0.000
Li2 0.500 0.500 0.240
Os1 0.000 0.000 0.503
Au1 0.500 0.500 0.728

=====

[11]
## LiOs2Au2 (GGA-PBE)

Data for LiOs2Au2 after structural relaxation.

Computed properties:
E_form	596	meV/atom
energy relative to the lowest polymorph listed for this composition	93.4	meV/atom

Cell lengths 8.138, 8.138, 2.715 Å; angles 90.00, 90.00, 90.00 degrees
Sites, in units of the cell vectors:
Li1 0.000 0.000 0.000
Li2 0.500 0.500 0.000
Os1 0.105 0.395 0.500
Os2 0.395 0.895 0.500
Os3 0.605 0.105 0.500
Os4 0.895 0.605 0.500
Au1 0.192 0.692 0.000
Au2 0.308 0.192 0.000
Au3 0.692 0.808 0.000
Au4 0.808 0.308 0.000

=====

[12]
## LiOsAu2 (GGA-PBE)

Data for LiOsAu2 after structural relaxation.

Computed properties:
E_form	237	meV/atom
energy relative to the lowest polymorph listed for this composition	178.5	meV/atom

Cell lengths 2.767, 2.767, 9.627 Å; angles 90.00, 90.00, 119.48 degrees
Sites, in units of the cell vectors:
Li1 0.000 0.000 0.000
Os1 0.000 0.000 0.500
Au1 0.500 0.500 0.234
Au2 0.500 0.500 0.766

=====

[13]
## LiOsAu4 (GGA-PBE)

Data for LiOsAu4 after structural relaxation.

Computed properties:
E_form	562	meV/atom

Cell lengths 5.427, 5.427, 5.427 Å; angles 60.00, 60.00, 60.00 degrees
Sites, in units of the cell vectors:
Li1 0.000 0.000 0.000
Os1 0.250 0.250 0.250
Au1 0.125 0.625 0.625
Au2 0.625 0.125 0.625
Au3 0.625 0.625 0.125
Au4 0.625 0.625 0.625

=====

[14]
## LiOsAu2 (GGA-PBE)

Data for LiOsAu2 after structural relaxation.

Computed properties:
E_form	359	meV/atom
energy relative to the lowest polymorph listed for this composition	300.9	meV/atom

Cell lengths 4.685, 4.685, 4.685 Å; angles 127.31, 127.31, 77.74 degrees
Sites, in units of the cell vectors:
Li1 0.000 0.000 0.000
Os1 0.500 0.500 0.000
Au1 0.250 0.750 0.500
Au2 0.750 0.250 0.500

=====

[15]
## LiOsAu2 (GGA-PBE)

Data for LiOsAu2 after structural relaxation.

Computed properties:
E_form	724	meV/atom
energy relative to the lowest polymorph listed for this composition	665.2	meV/atom

Cell lengths 9.523, 9.523, 9.523 Å; angles 156.28, 156.28, 33.80 degrees
Sites, in units of the cell vectors:
Li1 0.000 0.000 0.000
Li2 0.750 0.250 0.500
Os1 0.250 0.750 0.500
Os2 0.500 0.500 0.000
Au1 0.122 0.625 0.997
Au2 0.375 0.372 0.497
Au3 0.628 0.125 0.003
Au4 0.875 0.878 0.503

=====

[16]
## Li2OsAu (GGA-PBE)

Data for Li2OsAu after structural relaxation.

Computed properties:
E_form	319	meV/atom
energy relative to the lowest polymorph listed for this composition	353.9	meV/atom

Cell lengths 4.920, 4.920, 4.920 Å; angles 134.58, 134.58, 66.19 degrees
Sites, in units of the cell vectors:
Li1 0.250 0.750 0.500
Li2 0.750 0.250 0.500
Os1 0.000 0.000 0.000
Au1 0.500 0.500 0.000

=====

[17]
## LiOsAu2 (GGA-PBE)

Data for LiOsAu2 after structural relaxation.

Computed properties:
E_form	395	meV/atom
energy relative to the lowest polymorph listed for this composition	336.6	meV/atom

Cell lengths 4.957, 4.957, 4.957 Å; angles 133.19, 133.19, 68.35 degrees
Sites, in units of the cell vectors:
Li1 0.000 0.000 0.000
Os1 0.250 0.750 0.500
Au1 0.500 0.500 0.000
Au2 0.750 0.250 0.500

=====

[18]
## Li2OsAu (GGA-PBE)

Data for Li2OsAu after structural relaxation.

Computed properties:
E_form	200	meV/atom
energy relative to the lowest polymorph listed for this composition	234.7	meV/atom

Cell lengths 2.656, 2.656, 9.257 Å; angles 90.00, 90.00, 103.31 degrees
Sites, in units of the cell vectors:
Li1 0.000 0.000 0.000
Li2 0.500 0.500 0.293
Os1 0.500 0.500 0.777
Au1 0.000 0.000 0.514

=====

[19]
## LiOsAu2 (GGA-PBE)

Data for LiOsAu2 after structural relaxation.

Computed properties:
E_form	267	meV/atom
energy relative to the lowest polymorph listed for this composition	208.5	meV/atom

Cell lengths 2.700, 2.700, 8.777 Å; angles 90.00, 90.00, 90.00 degrees
Sites, in units of the cell vectors:
Li1 0.000 0.000 0.000
Os1 0.500 0.500 0.235
Au1 0.000 0.000 0.486
Au2 0.500 0.500 0.765

=====

[20]
## Li2OsAu (GGA-PBE)

Data for Li2OsAu after structural relaxation.

Computed properties:
E_form	31	meV/atom
energy relative to the lowest polymorph listed for this composition	65.6	meV/atom

Cell lengths 4.711, 4.711, 4.979 Å; angles 97.51, 97.51, 32.27 degrees
Sites, in units of the cell vectors:
Li1 0.249 0.249 0.270
Li2 0.751 0.751 0.730
Os1 0.000 0.000 0.500
Au1 0.500 0.500 0.000

=====

[21]
## Li2OsAu (GGA-PBE)

Data for Li2OsAu after structural relaxation.

Computed properties:
E_form	206	meV/atom
energy relative to the lowest polymorph listed for this composition	241.2	meV/atom

Cell lengths 2.665, 2.665, 8.945 Å; angles 90.00, 90.00, 90.00 degrees
Sites, in units of the cell vectors:
Li1 0.000 0.000 0.000
Li2 0.500 0.500 0.298
Os1 0.000 0.000 0.521
Au1 0.500 0.500 0.779

=====

[22]
## Li2OsAu (GGA-PBE)

Data for Li2OsAu after structural relaxation.

Computed properties:
E_form	285	meV/atom
energy relative to the lowest polymorph listed for this composition	319.9	meV/atom

Cell lengths 3.885, 3.885, 3.766 Å; angles 90.00, 90.00, 90.00 degrees
Sites, in units of the cell vectors:
Li1 0.000 0.500 0.000
Li2 0.500 0.000 0.000
Os1 0.000 0.000 0.500
Au1 0.500 0.500 0.500

=====

[23]
## LiOsAu2 (GGA-PBE)

Data for LiOsAu2 after structural relaxation.

Computed properties:
E_form	300	meV/atom
energy relative to the lowest polymorph listed for this composition	241.3	meV/atom

Cell lengths 4.808, 4.808, 5.243 Å; angles 96.41, 96.41, 32.31 degrees
Sites, in units of the cell vectors:
Li1 0.000 0.000 0.000
Os1 0.500 0.500 0.500
Au1 0.244 0.244 0.751
Au2 0.756 0.756 0.249

=====

[24]
## Li2OsAu (GGA-PBE)

Data for Li2OsAu after structural relaxation.

Computed properties:
E_form	220	meV/atom
energy relative to the lowest polymorph listed for this composition	254.4	meV/atom

Cell lengths 4.489, 4.489, 2.690 Å; angles 90.00, 90.00, 90.00 degrees
Sites, in units of the cell vectors:
Li1 0.000 0.500 0.000
Li2 0.500 0.000 0.000
Os1 0.000 0.000 0.500
Au1 0.500 0.500 0.500

=====

[25]
## Li3OsAu (GGA-PBE)

Data for Li3OsAu after structural relaxation.

Computed properties:
E_form	900	meV/atom
energy relative to the lowest polymorph listed for this composition	0.0	meV/atom

Cell lengths 4.576, 4.576, 4.576 Å; angles 90.00, 90.00, 90.00 degrees
Sites, in units of the cell vectors:
Li1 0.000 0.000 0.500
Li2 0.000 0.500 0.000
Li3 0.500 0.000 0.000
Os1 0.500 0.500 0.500
Au1 0.000 0.000 0.000

=====

[26]
## LiOs2Au2 (GGA-PBE)

Data for LiOs2Au2 after structural relaxation.

Computed properties:
E_form	503	meV/atom
energy relative to the lowest polymorph listed for this composition	0.0	meV/atom

Cell lengths 7.563, 7.563, 7.563 Å; angles 152.93, 152.93, 38.65 degrees
Sites, in units of the cell vectors:
Li1 0.000 0.000 0.000
Os1 0.250 0.750 0.500
Os2 0.750 0.250 0.500
Au1 0.407 0.407 0.000
Au2 0.593 0.593 0.000

=====

[27]
## Li2OsAu (GGA-PBE)

Data for Li2OsAu after structural relaxation.

Computed properties:
E_form	77	meV/atom
energy relative to the lowest polymorph listed for this composition	111.9	meV/atom

Cell lengths 5.343, 5.343, 5.343 Å; angles 151.13, 125.85, 62.53 degrees
Sites, in units of the cell vectors:
Li1 0.247 0.247 0.000
Li2 0.753 0.753 0.000
Os1 0.500 0.000 0.500
Au1 0.000 0.500 0.500

=====

[28]
## LiOsAu2 (GGA-PBE)

Data for LiOsAu2 after structural relaxation.

Computed properties:
E_form	253	meV/atom
energy relative to the lowest polymorph listed for this composition	194.1	meV/atom

Cell lengths 2.658, 4.601, 5.467 Å; angles 90.00, 90.00, 90.00 degrees
Sites, in units of the cell vectors:
Li1 0.000 0.000 0.000
Os1 0.500 0.500 0.335
Au1 0.000 0.000 0.469
Au2 0.500 0.500 0.838

=====

[29]
## LiOsAu2 (GGA-PBE)

Data for LiOsAu2 after structural relaxation.

Computed properties:
E_form	233	meV/atom
energy relative to the lowest polymorph listed for this composition	174.4	meV/atom

Cell lengths 2.691, 4.096, 5.776 Å; angles 90.00, 90.00, 90.00 degrees
Sites, in units of the cell vectors:
Li1 0.000 0.000 0.000
Os1 0.000 0.000 0.500
Au1 0.500 0.500 0.250
Au2 0.500 0.500 0.750

=====

[30]
## Li2OsAu (GGA-PBE)

Data for Li2OsAu after structural relaxation.

Computed properties:
E_form	42	meV/atom
energy relative to the lowest polymorph listed for this composition	77.4	meV/atom

Cell lengths 2.619, 4.466, 5.010 Å; angles 90.00, 92.19, 90.00 degrees
Sites, in units of the cell vectors:
Li1 0.189 0.000 0.228
Li2 0.811 0.000 0.772
Os1 0.500 0.500 0.000
Au1 0.000 0.500 0.500

=====

Across the entries above, total magnetic moment takes the values 0.000 0.037 0.333 0.000 0.055 0.000 0.378 0.026 0.000 0.000 0.001 0.000 0.413 0.000 0.419 0.236 0.445 0.000 0.000 0.000 0.000 0.204 0.000 0.000 0.412 0.000 0.000 0.000 0.001 0.000 μB per atom, respectively.
Across the entries above, calculated density takes the values 15.3 11.3 15.3 15.5 15.1 10.7 10.7 15.3 16.4 11.1 14.4 15.3 14.5 15.6 14.1 11.2 15.4 10.5 15.3 11.4 10.5 11.7 15.3 12.3 7.1 14.5 11.3 14.7 15.4 11.4 Mg/m³, respectively.